[1]
First-principles (GGA-PBE) data for crystalline CsCdHg2Sb at its relaxed geometry, as listed in Alexandria via LeMat-Bulk.

Lattice parameters (Å, degrees): 5.896 5.896 5.925 90.00 90.00 90.00
Atoms (fractional coordinates):
Cs 0.500 0.500 0.500
Sb 0.000 0.000 0.000
Hg 0.000 0.500 0.000
Hg 0.500 0.000 0.000
Cd 0.000 0.000 0.500

Computed properties:
Space group = No. 123
Uncorrected formation energy = -4 kJ per mole of atoms
ρ = 6.19 g/cm³



[2]
First-principles (GGA-PBE) data for crystalline CsCdHg2Sb at its relaxed geometry, as listed in Alexandria via LeMat-Bulk.

Lattice parameters (Å, degrees): 5.843 7.468 5.843 90.00 90.00 90.00
Atoms (fractional coordinates):
Cs 0.000 0.500 0.000
Sb 0.000 0.000 0.000
Hg 0.000 0.000 0.500
Hg 0.500 0.000 0.000
Cd 0.500 0.500 0.500

Computed properties:
Space group = No. 123
Uncorrected formation energy = 3 kJ per mole of atoms
ρ = 5.00 g/cm³



[3]
First-principles (GGA-PBE) data for crystalline CsCd4HgSb2 at its relaxed geometry, as listed in Alexandria via LeMat-Bulk.

Lattice parameters (Å, degrees): 4.767 4.767 11.076 90.00 90.00 90.00
Atoms (fractional coordinates):
Cs 0.000 0.000 0.500
Cd 0.000 0.500 0.158
Cd 0.500 0.000 0.842
Cd 0.500 0.000 0.158
Cd 0.000 0.500 0.842
Hg 0.000 0.000 0.000
Sb 0.500 0.500 0.311
Sb 0.500 0.500 0.689

Computed properties:
Space group = No. 123
Uncorrected formation energy = -15 kJ per mole of atoms
ρ = 6.77 g/cm³



[4]
First-principles (GGA-PBE) data for crystalline Cs2Cd4Hg3Sb at its relaxed geometry, as listed in Alexandria via LeMat-Bulk.

Lattice parameters (Å, degrees): 5.365 5.365 11.621 90.00 90.00 90.00
Atoms (fractional coordinates):
Cs 0.500 0.000 0.250
Cs 0.000 0.500 0.750
Cd 0.500 0.500 0.000
Cd 0.000 0.000 0.000
Cd 0.500 0.000 0.626
Cd 0.000 0.500 0.374
Hg 0.000 0.000 0.500
Hg 0.500 0.000 0.880
Hg 0.000 0.500 0.120
Sb 0.500 0.500 0.500

Computed properties:
Space group = No. 115
Uncorrected formation energy = -15 kJ per mole of atoms
ρ = 7.15 g/cm³



[5]
First-principles (GGA-PBE) data for crystalline CsCdHg2Sb at its relaxed geometry, as listed in Alexandria via LeMat-Bulk.

Lattice parameters (Å, degrees): 5.079 5.216 7.275 111.01 110.43 90.00
Atoms (fractional coordinates):
Cs 0.444 0.444 0.888
Cd 0.196 0.696 0.392
Hg 0.689 0.189 0.378
Hg 0.061 0.061 0.121
Sb 0.822 0.822 0.645

Computed properties:
Space group = No. 44
Uncorrected formation energy = -19 kJ per mole of atoms
ρ = 7.64 g/cm³



[6]
First-principles (GGA-PBE) data for crystalline CsCdHg2Se at its relaxed geometry, as listed in Alexandria via LeMat-Bulk.

Lattice parameters (Å, degrees): 5.777 5.777 5.507 90.00 90.00 90.00
Atoms (fractional coordinates):
Cs 0.500 0.500 0.500
Hg 0.000 0.500 0.000
Hg 0.500 0.000 0.000
Se 0.000 0.000 0.500
Cd 0.000 0.000 0.000

Computed properties:
Space group = No. 123
Uncorrected formation energy = -32 kJ per mole of atoms
ρ = 6.55 g/cm³